Gd2AlGa | PBE-GGA | relaxed

## Properties
size of the total moment: 3.656 μB per atom
DFT total energy: -0.319 hartree per atom
formation energy from the elements: 59.6 meV per atom
density: 6.1 Mg/m³
energy above the most stable polymorph in this dataset: 547 meV per atom

a = 3.466 Å, b = 3.466 Å, c = 10.879 Å
α = 80.83°, β = 80.83°, γ = 60.00°
Sites, in units of the cell vectors:
Gd 0.095 0.095 0.715
Gd 0.905 0.905 0.285
Al 0.500 0.500 0.500
Ga 0.000 0.000 0.000

LaGdAlGa | PBE-GGA | relaxed

## Properties
size of the total moment: 1.765 μB per atom
DFT total energy: -0.254 hartree per atom
formation energy from the elements: -461.9 meV per atom
density: 6.4 Mg/m³

a = 5.248 Å, b = 5.248 Å, c = 5.248 Å
α = 60.00°, β = 60.00°, γ = 60.00°
Sites, in units of the cell vectors:
Gd 0.750 0.750 0.750
Al 0.000 0.000 0.000
Ga 0.500 0.500 0.500
La 0.250 0.250 0.250